(1)
A geometry-optimized Ho2Er2Ru structure. Source: Alexandria, functional GGA-PBE.

Structure (POSCAR):
```
Ho2Er2Ru
1.0
3.652 -5.883 0.000
3.652 5.883 0.000
-3.127 0.000 6.530
Ho Er Ru
4 4 2
direct
0.174 0.728 0.747
0.272 0.826 0.253
0.728 0.174 0.747
0.826 0.272 0.253
0.243 0.243 0.600
0.272 0.272 0.104
0.728 0.728 0.896
0.757 0.757 0.400
0.373 0.627 0.500
0.627 0.373 0.500
```

## Properties
E ... -5.695 eV per atom
DOS at the Fermi energy ... 1.202 states/eV/atom
Symmetry ... C2/m (12)
Formation enthalpy at 0 K ... -0.92 eV/f.u.

(2)
A geometry-optimized Sr5Ta3 structure. Source: Alexandria, functional GGA-PBE.

Structure (POSCAR):
```
Sr5Ta3
1.0
6.428 0.000 0.000
3.210 9.389 0.000
3.212 -0.002 9.390
Sr Ta
10 6
direct
0.000 0.000 0.000
0.022 0.646 0.810
0.059 0.436 0.447
0.195 0.010 0.601
0.349 0.282 0.020
0.485 0.855 0.174
0.522 0.646 0.810
0.544 0.292 0.621
0.690 0.456 0.165
0.854 0.835 0.456
0.104 0.646 0.146
0.440 0.645 0.475
0.588 0.146 0.310
0.604 0.981 0.810
0.940 0.310 0.811
0.956 0.146 0.310
```

## Properties
E ... -4.281 eV per atom
DOS at the Fermi energy ... 1.271 states/eV/atom
Symmetry ... P1 (1)
Formation enthalpy at 0 K ... 9.72 eV/f.u.

(3)
A geometry-optimized BaGaTe2N structure. Source: Alexandria, functional GGA-PBE.

Structure (POSCAR):
```
BaGaTe2N
1.0
5.589 0.000 0.000
0.000 5.589 0.000
0.000 0.000 4.245
Ba Ga Te N
1 1 2 1
direct
0.000 0.000 0.000
0.500 0.500 0.000
0.000 0.500 0.500
0.500 0.000 0.500
0.500 0.500 0.500
```

## Properties
E ... -4.022 eV per atom
DOS at the Fermi energy ... 0.288 states/eV/atom
Symmetry ... P4/mmm (123)
Uncorrected formation energy ... -0.11 eV per atom
Excess energy over the best structure of this formula in the dataset ... 39 meV per atom

(4)
A geometry-optimized AgSb structure. Source: Alexandria, functional GGA-PBE.

Structure (POSCAR):
```
AgSb
1.0
8.961 0.000 0.000
-4.481 7.761 0.000
0.000 0.000 4.164
Ag Sb
6 6
direct
0.123 0.562 0.250
0.438 0.562 0.250
0.438 0.877 0.250
0.562 0.123 0.750
0.562 0.438 0.750
0.877 0.438 0.750
0.172 0.344 0.750
0.172 0.828 0.750
0.344 0.172 0.250
0.656 0.828 0.750
0.828 0.172 0.250
0.828 0.656 0.250
```

## Properties
E ... -3.332 eV per atom
DOS at the Fermi energy ... 0.574 states/eV/atom
Symmetry ... P6_3/mmc (194)
Uncorrected formation energy ... 0.16 eV per atom
Excess energy over the best structure of this formula in the dataset ... 76 meV per atom

(5)
A geometry-optimized Tl4Cu3Cl10 structure. Source: Alexandria, functional GGA-PBE.

Structure (POSCAR):
```
Tl4Cu3Cl10
1.0
-2.452 2.452 17.513
2.452 -2.452 17.513
2.452 2.452 -17.513
Tl Cu Cl
4 3 10
direct
0.068 0.068 0.000
0.200 0.200 0.000
0.800 0.800 0.000
0.932 0.932 0.000
0.361 0.361 0.000
0.500 0.500 0.000
0.639 0.639 0.000
0.000 0.500 0.500
0.138 0.638 0.500
0.294 0.294 0.000
0.362 0.862 0.500
0.430 0.430 0.000
0.500 0.000 0.500
0.570 0.570 0.000
0.638 0.138 0.500
0.706 0.706 0.000
0.862 0.362 0.500
```

## Properties
E ... -3.098 eV per atom
DOS at the Fermi energy ... 0.433 states/eV/atom
Symmetry ... I4/mmm (139)
Uncorrected formation energy ... -0.73 eV per atom

(6)
A geometry-optimized LiZnP2 structure. Source: Alexandria, functional GGA-PBE.

Structure (POSCAR):
```
LiZnP2
1.0
4.243 -1.613 0.000
4.243 1.613 0.000
-2.419 0.000 4.903
Li Zn P
1 1 2
direct
0.000 0.000 0.000
0.500 0.500 0.500
0.233 0.233 0.836
0.767 0.767 0.164
```

## Properties
E ... -3.620 eV per atom
DOS at the Fermi energy ... 0.256 states/eV/atom
Symmetry ... C2/m (12)
Formation enthalpy at 0 K ... -0.47 eV/f.u.